(1)
{
  "formula": "Pr2AuSe3",
  "functional": "PBE",
  "state": "optimized geometry",
  "formation_energy_uncorrected_ev_per_atom": -1.304,
  "dos_ef_per_ev_atom": 0.3020,
  "volume_a3_per_cell": 160.4,
  "e_tot_ev_per_cell": -31.1,
  "density_g_cm3": 7.41,
  "lattice": [[-3.5829, -1.5370, -0.3712], [0.8494, -2.8910, 3.7722], [-1.7152, 8.1350, 3.5314]],
  "species": ["Pr", "Pr", "Au", "Se", "Se", "Se"],
  "frac_coords": [[0.3586, 0.3586, 0.7171], [0.6414, 0.6414, 0.2829], [0.0000, 0.0000, 0.0000], [0.0000, 0.5000, 0.0000], [0.1812, 0.1812, 0.3625], [0.8188, 0.8188, 0.6375]]
}

(2)
{
  "formula": "InPbBr2",
  "functional": "PBE",
  "state": "optimized geometry",
  "formation_energy_uncorrected_ev_per_atom": -0.359,
  "dos_ef_per_ev_atom": 0.8117,
  "volume_a3_per_cell": 288.7,
  "e_tot_ev_per_cell": -22.5,
  "de_polymorph_mev_per_atom": 180.4,
  "density_g_cm3": 5.54,
  "lattice": [[5.4080, 0.0000, 0.0000], [0.0000, 5.4080, 0.0000], [2.7040, 2.7040, 9.8720]],
  "species": ["Br", "Br", "Br", "Br", "In", "In", "Pb", "Pb"],
  "frac_coords": [[0.1137, 0.6250, 0.2500], [0.3750, 0.3637, 0.7500], [0.6363, 0.1250, 0.2500], [0.8750, 0.8863, 0.7500], [0.2500, 0.7500, 0.5000], [0.5000, 0.5000, 0.0000], [0.7500, 0.2500, 0.5000], [0.0000, 0.0000, 0.0000]]
}

(3)
{
  "formula": "LiTc2Ge2",
  "functional": "PBE",
  "state": "optimized geometry",
  "e_form_ev_per_atom": -0.05,
  "dos_ef_per_ev_atom": 0.8652,
  "volume_a3_per_cell": 153.3,
  "e_tot_ev_per_cell": -64.3,
  "de_polymorph_mev_per_atom": 29.6,
  "density_g_cm3": 7.54,
  "lattice": [[7.1030, 0.0000, 0.0000], [0.0000, 7.1030, 0.0000], [0.0000, 0.0000, 3.0385]],
  "species": ["Tc", "Tc", "Tc", "Tc", "Li", "Li", "Ge", "Ge", "Ge", "Ge"],
  "frac_coords": [[0.6420, 0.1420, 0.0000], [0.3580, 0.8580, 0.0000], [0.1420, 0.3580, 0.0000], [0.8580, 0.6420, 0.0000], [0.5000, 0.5000, 0.0000], [0.0000, 0.0000, 0.0000], [0.8467, 0.3467, 0.5000], [0.6533, 0.8467, 0.5000], [0.3467, 0.1533, 0.5000], [0.1533, 0.6533, 0.5000]]
}

(4)
{
  "formula": "PaNi2Ge",
  "functional": "PBE",
  "state": "optimized geometry",
  "e_form_ev_per_atom": -0.19,
  "dos_ef_per_ev_atom": 1.1629,
  "volume_a3_per_cell": 65.7,
  "e_tot_ev_per_cell": -26.4,
  "de_polymorph_mev_per_atom": 316.2,
  "density_g_cm3": 10.65,
  "lattice": [[-0.1458, 2.3833, 2.5942], [0.8133, -3.0980, 2.8919], [4.2342, 0.7180, -0.4217]],
  "species": ["Pa", "Ge", "Ni", "Ni"],
  "frac_coords": [[0.5000, 0.0000, 0.0000], [0.5000, 0.5000, 0.5000], [0.0000, 0.5000, 0.0000], [0.0000, 0.0000, 0.5000]]
}